The following is a DFT calculation (PBE+U) of a geometry-optimized TbV2AgO8 structure.

The space group is P-3m1 (No. 164) and the conventional cell measures 5.8768, 5.8768 and 6.1796 Å, with angles of 90.00, 90.00 and 120.00 degrees. The inequivalent atoms are Tb at (0.0000, 0.0000, 0.0000), V at (0.3333, 0.6667, 0.6635), Ag at (0.0000, 0.0000, 0.5000), O at (0.1652, 0.3303, 0.7500) and O at (0.3333, 0.6667, 0.3988).

The calculated total energy comes out at -6.899 eV per atom. The value obtained for the density of states at the Fermi level is 1.094 states/eV/cell. The total magnetic moment comes out at 2.06 μB per cell.